LiCoHg2F8 | PBE+U | optimized geometry

The calculation puts the volume at 338 Å³/cell. For the uncorrected energy, the calculation gives -3.505 eV per atom. The total magnetization is 0.341 μB per atom.

The space group is I-4m2 (No. 119) and the conventional cell measures 6.500, 6.500 and 7.992 Å, with angles of 90.00, 90.00 and 90.00 degrees. The inequivalent atoms are Li at (0.000, 0.000, 0.000), Co at (0.000, 0.500, 0.750), Hg at (0.000, 0.000, 0.500), Hg at (0.000, 0.500, 0.250), F at (0.000, 0.209, 0.717) and F at (0.000, 0.307, 0.023).